Te4C5: relaxed, PBE.

a b c (Å): 6.897 6.897 6.478
angles (deg): 90.00 90.00 120.00
Atoms (fractional coordinates):
Te (0.000, 0.458, 0.250)
Te (0.458, 0.000, 0.250)
Te (0.458, 0.458, 0.750)
Te (0.000, 0.000, 0.000)
Te (0.000, 0.542, 0.750)
Te (0.542, 0.542, 0.250)
Te (0.542, 0.000, 0.750)
Te (0.000, 0.000, 0.500)
C (0.667, 0.333, 0.500)
C (0.333, 0.667, 0.000)
C (0.770, 0.000, 0.250)
C (0.333, 0.667, 0.500)
C (0.230, 0.000, 0.750)
C (0.230, 0.230, 0.250)
C (0.770, 0.770, 0.750)
C (0.667, 0.333, 0.000)
C (0.000, 0.230, 0.750)
C (0.000, 0.770, 0.250)

Calculated values
formation energy from raw total energies = 2.207 eV per atom
E above lowest polymorph = 870 meV per atom
M_tot = 0.000 μB per atom



TeC: relaxed, PBE.

a b c (Å): 3.966 3.966 6.406
angles (deg): 90.00 90.00 120.00
Atoms (fractional coordinates):
C (0.667, 0.333, 0.258)
C (0.000, 0.000, 0.992)
Te (0.000, 0.000, 0.333)
Te (0.667, 0.333, 0.917)

Calculated values
formation energy from raw total energies = 1.769 eV per atom
E above lowest polymorph = 1013 meV per atom
M_tot = 0.001 μB per atom



TeC8: relaxed, PBE.

a b c (Å): 8.949 8.949 8.949
angles (deg): 91.16 91.16 163.65
Atoms (fractional coordinates):
C (0.250, 0.750, 0.000)
C (0.250, 0.250, 0.500)
C (0.750, 0.250, 0.000)
C (0.000, 0.571, 0.571)
C (0.571, 0.000, 0.571)
C (0.429, 0.000, 0.429)
C (0.750, 0.750, 0.500)
C (0.000, 0.429, 0.429)
Te (0.000, 0.000, 0.000)

Calculated values
formation energy from raw total energies = 2.045 eV per atom
M_tot = 0.000 μB per atom



TeC: relaxed, PBE.

a b c (Å): 6.338 6.338 3.278
angles (deg): 90.00 90.00 120.00
Site moments in Bohr magnetons follow the coordinates.
Atoms (fractional coordinates):
Te (0.500, 0.500, 0.000)  -0.01
Te (0.000, 0.500, 0.000)  -0.01
Te (0.500, 0.000, 0.000)  -0.01
C (0.333, 0.667, 0.500)  -0.01
C (0.000, 0.000, 0.000)  0.30
C (0.667, 0.333, 0.500)  -0.01

Calculated values
formation energy from raw total energies = 2.438 eV per atom
E above lowest polymorph = 1682 meV per atom
M_tot = 0.086 μB per atom



Te2C: relaxed, PBE.

a b c (Å): 6.663 6.663 7.273
angles (deg): 90.00 90.00 114.53
Atoms (fractional coordinates):
Te (0.922, 0.579, 0.750)
Te (0.078, 0.421, 0.250)
Te (0.421, 0.078, 0.250)
Te (0.579, 0.922, 0.750)
C (0.751, 0.751, 0.750)
C (0.249, 0.249, 0.250)

Calculated values
formation energy from raw total energies = 1.121 eV per atom
E above lowest polymorph = 393 meV per atom
M_tot = 0.000 μB per atom



TeC: relaxed, PBE.

a b c (Å): 3.356 3.988 17.344
angles (deg): 90.00 90.00 90.00
Atoms (fractional coordinates):
C (0.000, 0.996, 0.626)
C (0.000, 0.996, 0.374)
C (0.000, 0.495, 0.000)
C (0.500, 0.004, 0.126)
C (0.500, 0.505, 0.500)
C (0.500, 0.004, 0.874)
Te (0.000, 0.864, 0.500)
Te (0.000, 0.674, 0.145)
Te (0.500, 0.136, 0.000)
Te (0.500, 0.326, 0.355)
Te (0.500, 0.326, 0.645)
Te (0.000, 0.674, 0.855)

Calculated values
formation energy from raw total energies = 1.608 eV per atom
E above lowest polymorph = 852 meV per atom
M_tot = 0.000 μB per atom



Te2C: relaxed, PBE.

a b c (Å): 3.084 5.471 9.692
angles (deg): 90.00 90.00 90.00
Atoms (fractional coordinates):
Te (0.000, 0.247, 0.596)
Te (0.000, 0.753, 0.404)
Te (0.500, 0.253, 0.096)
Te (0.500, 0.747, 0.904)
C (0.500, 0.500, 0.500)
C (0.000, 0.000, 0.000)

Calculated values
formation energy from raw total energies = 1.380 eV per atom
E above lowest polymorph = 652 meV per atom
M_tot = 0.000 μB per atom



TeC: relaxed, PBE.

a b c (Å): 10.729 10.729 3.307
angles (deg): 90.00 90.00 90.00
Atoms (fractional coordinates):
C (0.840, 0.625, 0.000)
C (0.875, 0.340, 0.500)
C (0.160, 0.375, 0.000)
C (0.340, 0.125, 0.500)
C (0.125, 0.660, 0.500)
C (0.660, 0.875, 0.500)
C (0.625, 0.160, 0.000)
C (0.375, 0.840, 0.000)
Te (0.428, 0.212, 0.000)
Te (0.072, 0.288, 0.500)
Te (0.788, 0.428, 0.000)
Te (0.572, 0.788, 0.000)
Te (0.712, 0.072, 0.500)
Te (0.212, 0.572, 0.000)
Te (0.928, 0.712, 0.500)
Te (0.288, 0.928, 0.500)

Calculated values
formation energy from raw total energies = 1.573 eV per atom
E above lowest polymorph = 817 meV per atom
M_tot = 0.000 μB per atom



TeC2: relaxed, PBE.

a b c (Å): 2.730 2.730 8.366
angles (deg): 90.00 90.00 120.00
Atoms (fractional coordinates):
C (0.667, 0.333, 0.500)
C (0.333, 0.667, 0.500)
Te (0.000, 0.000, 0.000)

Calculated values
formation energy from raw total energies = 0.958 eV per atom
E above lowest polymorph = 40 meV per atom
M_tot = 0.000 μB per atom



TeC: relaxed, PBE.

a b c (Å): 7.643 7.643 4.844
angles (deg): 90.00 90.00 120.00
Atoms (fractional coordinates):
C (0.638, 0.041, 0.250)
C (0.403, 0.362, 0.250)
C (0.362, 0.959, 0.750)
C (0.959, 0.597, 0.250)
C (0.597, 0.638, 0.750)
C (0.041, 0.403, 0.750)
Te (0.061, 0.694, 0.750)
Te (0.367, 0.061, 0.250)
Te (0.939, 0.306, 0.250)
Te (0.694, 0.633, 0.250)
Te (0.633, 0.939, 0.750)
Te (0.306, 0.367, 0.750)

Calculated values
formation energy from raw total energies = 1.693 eV per atom
E above lowest polymorph = 937 meV per atom
M_tot = 0.000 μB per atom



TeC: relaxed, PBE.

a b c (Å): 4.333 4.333 3.262
angles (deg): 90.00 90.00 135.73
Atoms (fractional coordinates):
Te (0.500, 0.500, 0.500)
C (0.000, 0.000, 0.000)

Calculated values
formation energy from raw total energies = 2.043 eV per atom
E above lowest polymorph = 1287 meV per atom
M_tot = 0.000 μB per atom



Te5C3: relaxed, PBE.

a b c (Å): 3.292 3.292 16.241
angles (deg): 90.00 90.00 90.00
Atoms (fractional coordinates):
Te (0.000, 0.000, 0.000)
Te (0.000, 0.000, 0.227)
Te (0.000, 0.000, 0.773)
Te (0.500, 0.500, 0.594)
Te (0.500, 0.500, 0.406)
C (0.500, 0.500, 0.267)
C (0.000, 0.000, 0.500)
C (0.500, 0.500, 0.733)

Calculated values
formation energy from raw total energies = 1.584 eV per atom
E above lowest polymorph = 491 meV per atom
M_tot = 0.004 μB per atom